The following is a DFT calculation (PBE+U) of B2MoO2 after structural relaxation.

Output
The calculation puts the distance to the lowest polymorph of the same formula at 5.35 eV/f.u. The total magnetic moment comes out at 0.000 μB/atom. Its space group is I4/mmm (139).

a b c (Å): 4.0679 4.0679 4.0679
angles (deg): 122.33 122.33 86.01
Positions (direct):
B1 0.1366 0.1366 0.0000
B2 0.8634 0.8634 0.0000
Mo1 0.5000 0.5000 0.0000
O1 0.2500 0.7500 0.5000
O2 0.7500 0.2500 0.5000